Run 1
La2SmHg | PBE-GGA | optimized geometry

## Properties
For the volume, the calculation gives 131.35 Å³/cell. Its space group is P4/mmm (123).

a b c (Å): 3.805 3.805 9.071
angles (deg): 90.00 90.00 90.00
Fractional positions:
La 0.000 0.000 0.224
La 0.000 0.000 0.776
Sm 0.500 0.500 0.500
Hg 0.500 0.500 0.000



Run 2
La2SmHg | PBE-GGA | optimized geometry

## Properties
For the volume, the calculation gives 126.39 Å³/cell. Its space group is Fm-3m (225).

a b c (Å): 5.633 5.633 5.633
angles (deg): 60.00 60.00 60.00
Fractional positions:
La 0.250 0.250 0.250
La 0.750 0.750 0.750
Sm 0.000 0.000 0.000
Hg 0.500 0.500 0.500



Run 3
La2SmHg | PBE-GGA | optimized geometry

## Properties
For the volume, the calculation gives 257.35 Å³/cell. Its space group is Fmmm (69).

a b c (Å): 9.690 9.688 5.374
angles (deg): 73.92 73.88 32.20
Fractional positions:
La 0.000 0.000 0.500
La 0.138 0.138 0.862
La 0.500 0.500 0.000
La 0.862 0.862 0.138
Sm 0.356 0.356 0.644
Sm 0.644 0.644 0.356
Hg 0.250 0.250 0.250
Hg 0.750 0.750 0.750



Run 4
La2SmHg | PBE-GGA | optimized geometry

## Properties
For the volume, the calculation gives 135.05 Å³/cell. Its space group is R3m (160).

a b c (Å): 11.190 11.190 11.190
angles (deg): 19.39 19.39 19.39
Fractional positions:
La 0.000 0.000 0.000
La 0.179 0.179 0.179
Sm 0.423 0.423 0.423
Hg 0.590 0.590 0.590



run 3 has the most favorable energy; the next structure is 13 meV/atom above.



Run 1
La6SmHg | PBE-GGA | optimized geometry

## Properties
For the volume, the calculation gives 270.17 Å³/cell. Its space group is P4/mmm (123).

a b c (Å): 5.105 5.105 10.367
angles (deg): 90.00 90.00 90.00
Fractional positions:
La 0.000 0.000 0.000
La 0.000 0.000 0.500
La 0.000 0.500 0.245
La 0.000 0.500 0.755
La 0.500 0.000 0.245
La 0.500 0.000 0.755
Sm 0.500 0.500 0.500
Hg 0.500 0.500 0.000



Run 2
La6SmHg | PBE-GGA | optimized geometry

## Properties
For the volume, the calculation gives 319.96 Å³/cell. Its space group is P-1 (2).

a b c (Å): 6.721 6.722 9.041
angles (deg): 111.70 90.17 119.91
Fractional positions:
La 0.042 0.479 0.275
La 0.202 0.160 0.724
La 0.440 0.237 0.276
La 0.560 0.763 0.724
La 0.798 0.840 0.276
La 0.958 0.521 0.725
Sm 0.500 0.000 0.500
Hg 0.000 0.000 0.000



run 1 has the most favorable energy; the next structure is 362 meV/atom above.



Run 1
La3SmHg2 | PBE-GGA | optimized geometry

## Properties
For the volume, the calculation gives 191.45 Å³/cell. Its space group is P4/mmm (123).

a b c (Å): 3.839 3.839 12.987
angles (deg): 90.00 90.00 90.00
Fractional positions:
La 0.000 0.000 0.000
La 0.000 0.000 0.308
La 0.000 0.000 0.692
Sm 0.500 0.500 0.500
Hg 0.500 0.500 0.158
Hg 0.500 0.500 0.842



Run 2
La3SmHg2 | PBE-GGA | optimized geometry

## Properties
For the volume, the calculation gives 378.07 Å³/cell. Its space group is Pmc2_1 (26).

a b c (Å): 5.410 9.841 7.102
angles (deg): 90.00 90.00 90.00
Fractional positions:
La 0.000 0.058 0.000
La 0.000 0.328 0.320
La 0.000 0.672 0.820
La 0.000 0.942 0.500
La 0.500 0.175 0.695
La 0.500 0.825 0.195
Sm 0.500 0.448 0.020
Sm 0.500 0.552 0.520
Hg 0.000 0.353 0.781
Hg 0.000 0.647 0.281
Hg 0.500 0.153 0.238
Hg 0.500 0.847 0.738



run 2 has the most favorable energy; the next structure is 26 meV/atom above.



Run 1
La2Sm2Hg | PBE-GGA | optimized geometry

## Properties
For the volume, the calculation gives 356.98 Å³/cell. Its space group is I4_1/amd (141).

a b c (Å): 13.526 13.526 13.526
angles (deg): 157.67 157.67 31.79
Fractional positions:
La 0.054 0.304 0.750
La 0.304 0.054 0.250
La 0.696 0.946 0.750
La 0.946 0.696 0.250
Sm 0.203 0.453 0.750
Sm 0.453 0.203 0.250
Sm 0.547 0.797 0.750
Sm 0.797 0.547 0.250
Hg 0.375 0.625 0.750
Hg 0.625 0.375 0.250



Run 2
La2Sm2Hg | PBE-GGA | optimized geometry

## Properties
For the volume, the calculation gives 162.43 Å³/cell. Its space group is I4/mmm (139).

a b c (Å): 11.906 11.906 11.906
angles (deg): 161.92 161.92 25.67
Fractional positions:
La 0.193 0.193 0.000
La 0.807 0.807 0.000
Sm 0.417 0.417 0.000
Sm 0.583 0.583 0.000
Hg 0.000 0.000 0.000



run 2 has the most favorable energy; the next structure is 145 meV/atom above.